Record 1
RbFeB3 | PBE-GGA | relaxed

The structure belongs to space group Pm-3m (No. 221); the cell edges are 4.040, 4.040 and 4.040 Å and the angles 90.00°, 90.00° and 90.00°. Symmetry generates all atoms from Rb at (0.000, 0.000, 0.000), Fe at (0.500, 0.500, 0.500) and B at (0.000, 0.500, 0.500).

The calculation puts the energy relative to the lowest polymorph listed for this composition at 0 meV per atom. Its calculated volume is 13.19 Å³ per atom.

Record 2
Tb2SnPd4 | PBE-GGA | relaxed

The structure belongs to space group I4/mmm (No. 139); the cell edges are 4.913, 4.913 and 14.382 Å and the angles 90.00°, 90.00° and 90.00°. Symmetry generates all atoms from Tb at (0.000, 0.000, 0.132), Sn at (0.000, 0.000, 0.500), Pd at (0.000, 0.000, 0.316) and Pd at (0.000, 0.500, 0.000).

The calculation puts the energy relative to the lowest polymorph listed for this composition at 550 meV per atom. Its calculated volume is 24.80 Å³ per atom.

Record 3
ScBeCd | PBE-GGA | relaxed

The structure belongs to space group F-43m (No. 216); the cell edges are 6.111, 6.111 and 6.111 Å and the angles 90.00°, 90.00° and 90.00°. Symmetry generates all atoms from Sc at (0.000, 0.000, 0.000), Be at (0.250, 0.250, 0.250) and Cd at (0.000, 0.000, 0.500).

The calculation puts the energy relative to the lowest polymorph listed for this composition at 232 meV per atom. Its calculated volume is 19.02 Å³ per atom.

Record 4
Tm4PbAu | PBE-GGA | relaxed

The structure belongs to space group P2_1/m (No. 11); the cell edges are 5.513, 6.796 and 8.722 Å and the angles 90.00°, 99.12° and 90.00°. Symmetry generates all atoms from Tm at (0.165, 0.250, 0.057), Tm at (0.221, 0.750, 0.363), Tm at (0.304, 0.509, 0.747), Pb at (0.230, 0.250, 0.422) and Au at (0.346, 0.750, 0.049).

The calculation puts the energy relative to the lowest polymorph listed for this composition at 0 meV per atom. Its calculated volume is 26.89 Å³ per atom.

Copy entry 1 word for word.
RbFeB3 | PBE-GGA | relaxed

The structure belongs to space group Pm-3m (No. 221); the cell edges are 4.040, 4.040 and 4.040 Å and the angles 90.00°, 90.00° and 90.00°. Symmetry generates all atoms from Rb at (0.000, 0.000, 0.000), Fe at (0.500, 0.500, 0.500) and B at (0.000, 0.500, 0.500).

The calculation puts the energy relative to the lowest polymorph listed for this composition at 0 meV per atom. Its calculated volume is 13.19 Å³ per atom.

Which of these has the highest energy relative to the lowest polymorph listed for this composition? Tb2SnPd4

Look up the calculated volume of the fourth one. 26.89 Å³ per atom

Look up the calculated volume of the second one. 24.80 Å³ per atom